[1]
The following is a DFT calculation (PBE) of a relaxed structure of Tl2HgPbAu.

Values from the calculation:
Energy in Ry/atom: -0.17509
Density of states at the Fermi level in states/eV per cell: 3.78
E_form in eV per atom: 0.022

Unit cell a=7.5704 b=3.5437 c=10.9415 alpha=90.00 beta=104.12 gamma=90.00
Space group P2_1/m (No. 11)
Inequivalent atoms, fractional coordinates:
1 Tl 0.0499 0.2500 0.3544 x2
2 Tl 0.3552 0.7500 0.8582 x2
3 Hg 0.3428 0.7500 0.5538 x2
4 Pb 0.1872 0.2500 0.0770 x2
5 Au 0.3831 0.7500 0.2855 x2


[2]
The following is a DFT calculation (PBE) of a relaxed structure of Tl2HgPbAu2.

Values from the calculation:
Energy in Ry/atom: -0.18956
Density of states at the Fermi level in states/eV per cell: 4.01
E_form in eV per atom: -0.030

Unit cell a=4.6152 b=9.1134 c=7.4162 alpha=90.00 beta=90.00 gamma=90.00
Space group Pmc2_1 (No. 26)
Inequivalent atoms, fractional coordinates:
1 Tl 0.0000 0.0820 0.0000 x2
2 Tl 0.5000 0.1791 0.3250 x2
3 Hg 0.0000 0.3125 0.6044 x2
4 Pb 0.5000 0.4381 0.9372 x2
5 Au 0.0000 0.3767 0.2030 x2
6 Au 0.5000 0.1492 0.7464 x2


[3]
The following is a DFT calculation (PBE) of a relaxed structure of TlHg2PbAu.

Values from the calculation:
Energy in Ry/atom: -0.13604
Density of states at the Fermi level in states/eV per cell: 2.72
E_form in eV per atom: 0.140

Unit cell a=5.3358 b=5.3358 c=5.7127 alpha=90.00 beta=90.00 gamma=90.00
Space group P4/mmm (No. 123)
Inequivalent atoms, fractional coordinates:
1 Tl 0.0000 0.0000 0.0000 x1
2 Hg 0.0000 0.5000 0.5000 x2
3 Pb 0.5000 0.5000 0.0000 x1
4 Au 0.5000 0.5000 0.5000 x1